{"formula": "BaVSnF6", "functional": "PBE with a Hubbard U", "state": "relaxed", "lattice": [[4.9827, 0.0000, 0.0000], [0.8304, 5.6687, 0.0000], [0.3402, 2.6424, 5.2021]], "species": ["Ba", "V", "Sn", "F", "F", "F", "F", "F", "F"], "frac_coords": [[0.0000, 0.0000, 0.0000], [0.7079, 0.6971, 0.6182], [0.4438, 0.3408, 0.3700], [0.0449, 0.5054, 0.5008], [0.3805, 0.9372, 0.6893], [0.5150, 0.8180, 0.2569], [0.5554, 0.3332, 0.7332], [0.8588, 0.0622, 0.4498], [0.9016, 0.5615, 0.9686]], "rho_kg_m3": 4757, "crystal_system": "triclinic", "sg": "P1, No. 1", "energy_ev_per_atom": -5.623}